Record 1
A relaxed structure of Tb2Tm6Zn. Source: Alexandria, functional PBE.

Total magnetization: 0.00 μB/cell
VASP energy: -4.115 eV/atom
Calculated formation energy: 0.04 eV/atom
Crystal system: orthorhombic

```
data_Tb2Tm6Zn
_chemical_formula_sum 'Tb4 Tm12 Zn2'
_symmetry_space_group_name_H-M 'P n n m'
_symmetry_Int_Tables_number 58
_symmetry_space_group_name_Hall '-P 2 2n'
_cell_length_a 9.728
_cell_length_b 10.053
_cell_length_c 5.285
_cell_angle_alpha 90.00
_cell_angle_beta 90.00
_cell_angle_gamma 90.00
loop_
_atom_site_label
_atom_site_fract_x
_atom_site_fract_y
_atom_site_fract_z
Tb1 0.198 0.236 0.000
Tm1 0.024 0.317 0.500
Tm2 0.131 0.890 0.000
Tm3 0.185 0.562 0.000
Zn1 0.000 0.000 0.500
```

Record 2
A relaxed structure of Se3Br. Source: Alexandria, functional PBE.

Total magnetization: 0.00 μB/cell
VASP energy: -2.806 eV/atom
ΔE_f (raw): 0.2254 eV per atom
Crystal system: orthorhombic

```
data_Se3Br
_chemical_formula_sum 'Se6 Br2'
_symmetry_space_group_name_H-M 'C m m m'
_symmetry_Int_Tables_number 65
_symmetry_space_group_name_Hall '-C 2 2'
_cell_length_a 3.803
_cell_length_b 8.750
_cell_length_c 7.712
_cell_angle_alpha 90.00
_cell_angle_beta 90.00
_cell_angle_gamma 90.00
loop_
_atom_site_label
_atom_site_fract_x
_atom_site_fract_y
_atom_site_fract_z
Se1 0.000 0.000 0.000
Se2 0.000 0.500 0.229
Br1 0.000 0.000 0.500
```

Record 3
A relaxed structure of HoGa4NiRh2. Source: Alexandria, functional PBE.

Total magnetization: 0.00 μB/cell
VASP energy: -5.250 eV/atom
Calculated formation energy: -0.60 eV/atom
Crystal system: trigonal

```
data_HoGa4NiRh2
_chemical_formula_sum 'Ho3 Ga12 Ni3 Rh6'
_symmetry_space_group_name_H-M 'R -3 m'
_symmetry_Int_Tables_number 166
_symmetry_space_group_name_Hall '-R 3 2"'
_cell_length_a 4.2125
_cell_length_b 4.2125
_cell_length_c 25.3828
_cell_angle_alpha 90.00
_cell_angle_beta 90.00
_cell_angle_gamma 120.00
loop_
_atom_site_label
_atom_site_fract_x
_atom_site_fract_y
_atom_site_fract_z
Ho1 0.0000 0.0000 0.0000
Ga1 0.0000 0.0000 0.1324
Ga2 0.0000 0.0000 0.3998
Ni1 0.0000 0.0000 0.5000
Rh1 0.0000 0.0000 0.2342
```

Record 4
A relaxed structure of HgPt2W. Source: Alexandria, functional PBE.

Total magnetization: 0.00 μB/cell
VASP energy: -5.895 eV/atom
Calculated formation energy: 0.44 eV/atom
Crystal system: orthorhombic

```
data_HgPt2W
_chemical_formula_sum 'Hg1 Pt2 W1'
_symmetry_space_group_name_H-M 'P m m m'
_symmetry_Int_Tables_number 47
_symmetry_space_group_name_Hall '-P 2 2'
_cell_length_a 2.815
_cell_length_b 4.880
_cell_length_c 4.987
_cell_angle_alpha 90.00
_cell_angle_beta 90.00
_cell_angle_gamma 90.00
loop_
_atom_site_label
_atom_site_fract_x
_atom_site_fract_y
_atom_site_fract_z
Hg1 0.000 0.000 0.000
Pt1 0.000 0.500 0.500
Pt2 0.500 0.500 0.000
W1 0.500 0.000 0.500
```